No. 1
Compound: Zr2GaAg
Source: Alexandria
Functional: PBE-GGA
Structure: optimized geometry

Values from the calculation:
magnetization: 0.00 μB/f.u.
density: 7120 kg/m³
calculated formation energy: 0.08 eV/atom

Cell lengths 7.709, 7.709, 5.652 Å; angles 90.00, 90.00, 90.00 degrees
Positions (direct):
Zr  0.243  0.250  0.125
Zr  0.250  0.743  0.375
Zr  0.250  0.757  0.875
Zr  0.257  0.250  0.625
Zr  0.743  0.750  0.625
Zr  0.750  0.243  0.875
Zr  0.750  0.257  0.375
Zr  0.757  0.750  0.125
Ga  0.000  0.000  0.000
Ga  0.000  0.500  0.250
Ga  0.500  0.000  0.750
Ga  0.500  0.500  0.500
Ag  0.000  0.000  0.500
Ag  0.000  0.500  0.750
Ag  0.500  0.000  0.250
Ag  0.500  0.500  0.000

No. 2
Compound: LaLuIn4
Source: Alexandria
Functional: PBE-GGA
Structure: optimized geometry

Values from the calculation:
magnetization: 0.00 μB/f.u.
density: 8117 kg/m³
calculated formation energy: -0.33 eV/atom

Cell lengths 6.070, 6.070, 6.070 Å; angles 60.00, 60.00, 60.00 degrees
Positions (direct):
La  0.000  0.000  0.000
Lu  0.250  0.250  0.250
In  0.125  0.625  0.625
In  0.625  0.125  0.625
In  0.625  0.625  0.125
In  0.625  0.625  0.625

No. 3
Compound: Pr2Ho2Rh15
Source: Alexandria
Functional: PBE-GGA
Structure: optimized geometry

Values from the calculation:
magnetization: 0.00 μB/f.u.
density: 10912 kg/m³
calculated formation energy: -0.36 eV/atom

Cell lengths 6.952, 6.952, 6.952 Å; angles 82.48, 82.48, 82.48 degrees
Positions (direct):
Pr  0.143  0.143  0.143
Pr  0.857  0.857  0.857
Ho  0.391  0.391  0.391
Ho  0.609  0.609  0.609
Rh  0.000  0.500  0.500
Rh  0.150  0.150  0.658
Rh  0.150  0.658  0.150
Rh  0.195  0.500  0.805
Rh  0.195  0.805  0.500
Rh  0.342  0.850  0.850
Rh  0.500  0.000  0.500
Rh  0.500  0.195  0.805
Rh  0.500  0.500  0.000
Rh  0.500  0.805  0.195
Rh  0.658  0.150  0.150
Rh  0.805  0.195  0.500
Rh  0.805  0.500  0.195
Rh  0.850  0.342  0.850
Rh  0.850  0.850  0.342

No. 4
Compound: Li2ZnIn
Source: Alexandria
Functional: PBE-GGA
Structure: optimized geometry

Values from the calculation:
magnetization: 0.00 μB/f.u.
density: 4095 kg/m³
calculated formation energy: -0.02 eV/atom

Cell lengths 7.497, 7.497, 5.602 Å; angles 90.00, 90.00, 90.00 degrees
Positions (direct):
Li  0.226  0.250  0.125
Li  0.250  0.726  0.375
Li  0.250  0.774  0.875
Li  0.274  0.250  0.625
Li  0.726  0.750  0.625
Li  0.750  0.226  0.875
Li  0.750  0.274  0.375
Li  0.774  0.750  0.125
Zn  0.000  0.000  0.000
Zn  0.000  0.500  0.250
Zn  0.500  0.000  0.750
Zn  0.500  0.500  0.500
In  0.000  0.000  0.500
In  0.000  0.500  0.750
In  0.500  0.000  0.250
In  0.500  0.500  0.000

No. 5
Compound: NiGe2Pd
Source: Alexandria
Functional: PBE-GGA
Structure: optimized geometry

Values from the calculation:
magnetization: 0.00 μB/f.u.
E above lowest polymorph: 1.041 eV/f.u.
density: 7951 kg/m³
calculated formation energy: -0.11 eV/atom

Cell lengths 4.009, 4.009, 16.130 Å; angles 90.00, 90.00, 90.00 degrees
Positions (direct):
Ni  0.000  0.000  0.000
Ni  0.000  0.500  0.250
Ni  0.500  0.000  0.750
Ni  0.500  0.500  0.500
Ge  0.225  0.250  0.125
Ge  0.250  0.725  0.375
Ge  0.250  0.775  0.875
Ge  0.275  0.250  0.625
Ge  0.725  0.750  0.625
Ge  0.750  0.225  0.875
Ge  0.750  0.275  0.375
Ge  0.775  0.750  0.125
Pd  0.000  0.000  0.500
Pd  0.000  0.500  0.750
Pd  0.500  0.000  0.250
Pd  0.500  0.500  0.000

No. 6
Compound: Cs2SrZnBi2
Source: Alexandria
Functional: PBE-GGA
Structure: optimized geometry

Values from the calculation:
magnetization: 0.00 μB/f.u.
density: 5235 kg/m³
calculated formation energy: -0.46 eV/atom

Cell lengths 10.389, 10.389, 10.389 Å; angles 136.56, 63.74, 135.75 degrees
Positions (direct):
Cs  0.175  0.234  0.409
Cs  0.325  0.734  0.059
Cs  0.675  0.266  0.941
Cs  0.825  0.766  0.591
Sr  0.250  0.750  0.500
Sr  0.750  0.250  0.500
Zn  0.250  0.250  0.000
Zn  0.750  0.750  0.000
Bi  0.089  0.790  0.879
Bi  0.411  0.290  0.702
Bi  0.589  0.710  0.298
Bi  0.911  0.210  0.121

No. 7
Compound: NdMgPd3
Source: Alexandria
Functional: PBE-GGA
Structure: optimized geometry

Values from the calculation:
magnetization: 0.00 μB/f.u.
density: 7664 kg/m³
calculated formation energy: -0.57 eV/atom

Cell lengths 7.849, 7.665, 7.028 Å; angles 90.00, 90.00, 90.00 degrees
Positions (direct):
Nd  0.084  0.250  0.009
Nd  0.416  0.750  0.509
Nd  0.584  0.250  0.491
Nd  0.916  0.750  0.991
Mg  0.000  0.000  0.500
Mg  0.000  0.500  0.500
Mg  0.500  0.000  0.000
Mg  0.500  0.500  0.000
Pd  0.214  0.565  0.798
Pd  0.214  0.935  0.798
Pd  0.231  0.250  0.625
Pd  0.269  0.750  0.125
Pd  0.286  0.065  0.298
Pd  0.286  0.435  0.298
Pd  0.714  0.565  0.702
Pd  0.714  0.935  0.702
Pd  0.731  0.250  0.875
Pd  0.769  0.750  0.375
Pd  0.786  0.065  0.202
Pd  0.786  0.435  0.202

No. 8
Compound: Na2BPt4
Source: Alexandria
Functional: PBE-GGA
Structure: optimized geometry

Values from the calculation:
magnetization: 0.00 μB/f.u.
density: 10641 kg/m³
calculated formation energy: 0.01 eV/atom

Cell lengths 4.251, 4.251, 14.459 Å; angles 90.00, 90.00, 90.00 degrees
Positions (direct):
Na  0.000  0.000  0.154
Na  0.000  0.000  0.846
Na  0.500  0.500  0.346
Na  0.500  0.500  0.654
B  0.000  0.000  0.500
B  0.500  0.500  0.000
Pt  0.000  0.000  0.360
Pt  0.000  0.000  0.640
Pt  0.000  0.500  0.000
Pt  0.000  0.500  0.500
Pt  0.500  0.000  0.000
Pt  0.500  0.000  0.500
Pt  0.500  0.500  0.140
Pt  0.500  0.500  0.860

No. 9
Compound: CaYTm
Source: Alexandria
Functional: PBE-GGA
Structure: optimized geometry

Values from the calculation:
magnetization: 0.37 μB/f.u.
E above lowest polymorph: 0.055 eV/f.u.
density: 4840 kg/m³
calculated formation energy: 0.09 eV/atom

Cell lengths 3.603, 3.603, 9.091 Å; angles 90.00, 90.00, 120.00 degrees
Positions (direct):
Ca  0.000  0.000  0.000
Y  0.333  0.667  0.648
Tm  0.667  0.333  0.345

No. 10
Compound: MgPtRh4
Source: Alexandria
Functional: PBE-GGA
Structure: optimized geometry

Values from the calculation:
magnetization: 0.00 μB/f.u.
density: 11015 kg/m³
calculated formation energy: 0.08 eV/atom

Cell lengths 5.124, 5.124, 5.124 Å; angles 60.00, 60.00, 60.00 degrees
Positions (direct):
Mg  0.000  0.000  0.000
Pt  0.750  0.750  0.750
Rh  0.375  0.375  0.375
Rh  0.375  0.375  0.875
Rh  0.375  0.875  0.375
Rh  0.875  0.375  0.375

No. 11
Compound: Sr12Be3H5
Source: Alexandria
Functional: PBE-GGA
Structure: optimized geometry

Values from the calculation:
magnetization: 0.00 μB/f.u.
total DFT energy (no corrections): -2.405 eV/atom
density: 2944 kg/m³

Cell lengths 14.698, 14.698, 14.698 Å; angles 109.47, 109.47, 109.47 degrees
Positions (direct):
Sr  0.025  0.213  0.122
Sr  0.025  0.312  0.902
Sr  0.090  0.713  0.688
Sr  0.090  0.878  0.402
Sr  0.098  0.622  0.410
Sr  0.098  0.975  0.688
Sr  0.122  0.025  0.213
Sr  0.122  0.598  0.910
Sr  0.188  0.213  0.590
Sr  0.188  0.475  0.598
Sr  0.213  0.122  0.025
Sr  0.213  0.590  0.188
Sr  0.287  0.312  0.910
Sr  0.287  0.475  0.378
Sr  0.312  0.902  0.025
Sr  0.312  0.910  0.287
Sr  0.378  0.287  0.475
Sr  0.378  0.590  0.902
Sr  0.402  0.090  0.878
Sr  0.402  0.812  0.525
Sr  0.410  0.098  0.622
Sr  0.410  0.812  0.787
Sr  0.475  0.378  0.287
Sr  0.475  0.598  0.188
Sr  0.525  0.402  0.812
Sr  0.525  0.622  0.713
Sr  0.590  0.188  0.213
Sr  0.590  0.902  0.378
Sr  0.598  0.188  0.475
Sr  0.598  0.910  0.122
Sr  0.622  0.410  0.098
Sr  0.622  0.713  0.525
Sr  0.688  0.090  0.713
Sr  0.688  0.098  0.975
Sr  0.713  0.525  0.622
Sr  0.713  0.688  0.090
Sr  0.787  0.410  0.812
Sr  0.787  0.878  0.975
Sr  0.812  0.525  0.402
Sr  0.812  0.787  0.410
Sr  0.878  0.402  0.090
Sr  0.878  0.975  0.787
Sr  0.902  0.025  0.312
Sr  0.902  0.378  0.590
Sr  0.910  0.122  0.598
Sr  0.910  0.287  0.312
Sr  0.975  0.688  0.098
Sr  0.975  0.787  0.878
Be  0.125  0.250  0.375
Be  0.125  0.375  0.750
Be  0.250  0.375  0.125
Be  0.250  0.875  0.625
Be  0.375  0.125  0.250
Be  0.375  0.750  0.125
Be  0.625  0.250  0.875
Be  0.625  0.875  0.750
Be  0.750  0.125  0.375
Be  0.750  0.625  0.875
Be  0.875  0.625  0.250
Be  0.875  0.750  0.625
H  0.000  0.000  0.000
H  0.000  0.000  0.500
H  0.000  0.500  0.000
H  0.000  0.500  0.500
H  0.125  0.750  0.875
H  0.125  0.875  0.250
H  0.250  0.125  0.875
H  0.250  0.625  0.375
H  0.375  0.250  0.625
H  0.375  0.625  0.750
H  0.500  0.000  0.000
H  0.500  0.000  0.500
H  0.500  0.500  0.000
H  0.500  0.500  0.500
H  0.625  0.375  0.250
H  0.625  0.750  0.375
H  0.750  0.375  0.625
H  0.750  0.875  0.125
H  0.875  0.125  0.750
H  0.875  0.250  0.125